Entry from the Alexandria database: crystalline Tl2IrI2 at its relaxed geometry (PBE-GGA).

The calculation puts the final energy at -28.9 eV/cell. The formation energy (no corrections) comes out at 0.45 eV per atom. Its energy above the most stable polymorph in this dataset is 0.000 eV per atom.

The structure belongs to space group P4/mbm (No. 127); the cell edges are 7.585, 7.585 and 6.301 Å and the angles 90.00°, 90.00° and 90.00°. The inequivalent atoms are Tl at (0.230, 0.270, 0.000), Ir at (0.000, 0.000, 0.000) and I at (0.157, 0.657, 0.500).

Entry from the Alexandria database: crystalline Tl2IrI6 at its relaxed geometry (PBE-GGA).

The calculation puts the final energy at -51.2 eV/cell. The formation energy (no corrections) comes out at -0.30 eV per atom. Its energy above the most stable polymorph in this dataset is 0.000 eV per atom.

The structure belongs to space group P2_1/c (No. 14); the cell edges are 7.760, 8.101 and 13.350 Å and the angles 90.00°, 124.61° and 90.00°. The inequivalent atoms are Tl at (0.224, 0.078, 0.248), Ir at (0.500, 0.000, 0.000), I at (0.179, 0.186, 0.961), I at (0.276, 0.723, 0.962) and I at (0.345, 0.012, 0.762).

Entry from the Alexandria database: crystalline TlIrI2 at its relaxed geometry (PBE-GGA).

The calculation puts the final energy at -55.3 eV/cell. The formation energy (no corrections) comes out at 0.13 eV per atom. Its energy above the most stable polymorph in this dataset is 0.000 eV per atom.

The structure belongs to space group I-42d (No. 122); the cell edges are 9.771, 9.771 and 5.507 Å and the angles 90.00°, 90.00° and 90.00°. The inequivalent atoms are Tl at (0.000, 0.000, 0.000), Ir at (0.000, 0.000, 0.500) and I at (0.107, 0.250, 0.625).